Entry from OQMD: crystalline NdGaCu2Pd2 at its relaxed geometry (GGA-PBE).

Values from the calculation:
DFT total energy: -4.8182 eV per atom

abc: 5.5319 8.8212 4.1977
angles: 90.00 90.00 90.00
Closest atoms and distances in Å follow each position.
Space group Cmmm (No. 65)
Unique sites:
Nd (0.0000, 0.0000, 0.0000) (multiplicity 2)  6 Cu 3.04-3.09, 8 Pd 3.34
Ga (0.0000, 0.5000, 0.5000) (multiplicity 2)  4 Cu 2.51, 4 Pd 2.60
Cu (0.0000, 0.3449, 0.0000) (multiplicity 4)  2 Ga 2.51, 4 Pd 2.65, 1 Cu 2.74
Pd (0.2500, 0.2500, 0.5000) (multiplicity 4)  2 Ga 2.60, 4 Cu 2.65, 2 Pd 2.77


Entry from OQMD: crystalline LaHoAg2As4 at its relaxed geometry (GGA-PBE).

Values from the calculation:
DFT total energy: -4.9964 eV per atom

abc: 4.0484 4.0484 10.4986
angles: 90.00 90.00 90.00
Closest atoms and distances in Å follow each position.
Space group P4mm (No. 99)
Unique sites:
La (0.0000, 0.0000, 0.0000) (multiplicity 1)  8 As 3.05-3.21
Ho (0.5000, 0.5000, 0.4550) (multiplicity 1)  8 As 2.99-3.06
Ag (0.0000, 0.5000, 0.7195) (multiplicity 2)  4 As 2.77-2.78, 4 Ag 2.86
As (0.0000, 0.0000, 0.5374) (multiplicity 1)  4 Ag 2.78, 4 Ho 2.99
As (0.0000, 0.5000, 0.2368) (multiplicity 2)  4 As 2.86, 2 Ho 3.06, 2 La 3.21
As (0.5000, 0.5000, 0.8999) (multiplicity 1)  4 Ag 2.77, 4 La 3.05


Entry from OQMD: crystalline TmLuGa2Pd4 at its relaxed geometry (GGA-PBE).

Values from the calculation:
DFT total energy: -5.3793 eV per atom

abc: 4.3809 4.3809 8.9085
angles: 90.00 90.00 120.00
Closest atoms and distances in Å follow each position.
Space group P-6m2 (No. 187)
Unique sites:
Tm (0.0000, 0.0000, 0.0000) (multiplicity 1)  8 Pd 2.94-2.98
Lu (0.3333, 0.6667, 0.5000) (multiplicity 1)  8 Pd 2.93-2.96
Ga (0.6667, 0.3333, 0.2504) (multiplicity 2)  6 Pd 2.63-2.64
Pd (0.0000, 0.0000, 0.3348) (multiplicity 2)  3 Ga 2.64, 3 Lu 2.93, 4 Pd 2.94
Pd (0.3333, 0.6667, 0.1676) (multiplicity 2)  3 Ga 2.63, 3 Pd 2.94, 3 Tm 2.94